# 1
# BaSr2B2

A relaxed BaSr2B2 crystal (PBE, Alexandria).

Cell and atoms, written as POSCAR:
```
BaSr2B2
1.0
-2.6410 2.6410 5.6868
2.6410 -2.6410 5.6868
2.6410 2.6410 -5.6868
Ba Sr B
1 2 2
Direct
0.0000 0.0000 0.0000
0.3331 0.3331 0.0000
0.6669 0.6669 0.0000
0.2500 0.7500 0.5000
0.7500 0.2500 0.5000
```

Computed properties:
Its density of states at the Fermi level is 0.579 states/eV/atom. The value obtained for the energy relative to the lowest polymorph listed for this composition is 0.18 eV per formula unit. For the magnetic moment, the calculation gives 0.00 μB per formula unit. The formation energy from the elements comes out at 900 meV per atom.

=====

# 2
# Ac2CuGePd6

A relaxed Ac2CuGePd6 crystal (PBE, Alexandria).

Cell and atoms, written as POSCAR:
```
Ac2CuGePd6
1.0
5.8790 0.0000 0.0000
2.9327 5.1005 0.0000
2.9287 1.6866 7.3078
Ac Cu Ge Pd
2 1 1 6
Direct
0.2178 0.2190 0.3465
0.7822 0.7810 0.6535
0.5000 0.5000 0.5000
0.0000 0.0000 0.0000
0.2496 0.2479 0.7702
0.2496 0.7268 0.7731
0.2709 0.7522 0.2280
0.7291 0.2478 0.7720
0.7504 0.2732 0.2269
0.7504 0.7521 0.2298
```

Computed properties:
Its density of states at the Fermi level is 0.294 states/eV/atom. For the magnetic moment, the calculation gives 0.00 μB per formula unit. The formation energy from the elements comes out at -564 meV per atom.

=====

# 3
# LiSbTe4

A relaxed LiSbTe4 crystal (PBE, Alexandria).

Cell and atoms, written as POSCAR:
```
LiSbTe4
1.0
7.1571 0.0000 0.0000
0.0000 7.2476 0.0000
-0.4021 0.0000 7.2728
Li Sb Te
2 2 8
Direct
0.0000 0.0000 0.0000
0.0000 0.5000 0.5000
0.5000 0.0000 0.5000
0.5000 0.5000 0.0000
0.0901 0.1207 0.3839
0.0901 0.3793 0.8839
0.3697 0.6017 0.3894
0.3697 0.8983 0.8894
0.6303 0.1017 0.1106
0.6303 0.3983 0.6106
0.9099 0.6207 0.1161
0.9099 0.8793 0.6161
```

Computed properties:
Its density of states at the Fermi level is 0.045 states/eV/atom. The value obtained for the formation energy (no corrections) is -0.27 eV/atom. The value obtained for the energy relative to the lowest polymorph listed for this composition is 0.00 eV per formula unit. For the magnetic moment, the calculation gives 0.00 μB per formula unit.

=====

# 4
# SrRh3O

A relaxed SrRh3O crystal (PBE, Alexandria).

Cell and atoms, written as POSCAR:
```
SrRh3O
1.0
4.3224 0.0000 0.0000
0.0000 4.3224 0.0000
0.0000 0.0000 4.3224
Sr Rh O
1 3 1
Direct
0.0000 0.0000 0.0000
0.0000 0.5000 0.5000
0.5000 0.0000 0.5000
0.5000 0.5000 0.0000
0.5000 0.5000 0.5000
```

Computed properties:
Its density of states at the Fermi level is 1.232 states/eV/atom. The value obtained for the formation energy (no corrections) is -0.03 eV/atom. The value obtained for the energy relative to the lowest polymorph listed for this composition is 0.00 eV per formula unit. For the magnetic moment, the calculation gives 0.94 μB per formula unit.

=====

Please write out number 2 again, unchanged.
# Ac2CuGePd6

A relaxed Ac2CuGePd6 crystal (PBE, Alexandria).

Cell and atoms, written as POSCAR:
```
Ac2CuGePd6
1.0
5.8790 0.0000 0.0000
2.9327 5.1005 0.0000
2.9287 1.6866 7.3078
Ac Cu Ge Pd
2 1 1 6
Direct
0.2178 0.2190 0.3465
0.7822 0.7810 0.6535
0.5000 0.5000 0.5000
0.0000 0.0000 0.0000
0.2496 0.2479 0.7702
0.2496 0.7268 0.7731
0.2709 0.7522 0.2280
0.7291 0.2478 0.7720
0.7504 0.2732 0.2269
0.7504 0.7521 0.2298
```

Computed properties:
Its density of states at the Fermi level is 0.294 states/eV/atom. For the magnetic moment, the calculation gives 0.00 μB per formula unit. The formation energy from the elements comes out at -564 meV per atom.